Compound: FeBiSe2
Source: Alexandria
Functional: PBEsol
Structure: optimized geometry

Values from the calculation:
calculated total energy = -5.44 eV/atom
symmetry = R-3m
magnetic moment = 1.050 μB/f.u.
V = 21.86 Å³ per atom

a b c (Å): 8.6108 8.6108 8.6108
angles (deg): 23.26 23.26 23.26
Sites, in units of the cell vectors:
Fe 0.0000 0.0000 0.0000
Bi 0.5000 0.5000 0.5000
Se 0.3830 0.3830 0.3830
Se 0.6170 0.6170 0.6170

Compound: BaHg2Pt
Source: Alexandria
Functional: PBEsol
Structure: optimized geometry

Values from the calculation:
calculated total energy = -2.71 eV/atom
symmetry = Fmmm
magnetic moment = 0.000 μB/f.u.
V = 27.06 Å³ per atom
formation enthalpy at 0 K = -0.145 eV/atom

a b c (Å): 6.5033 6.4415 4.3640
angles (deg): 71.06 69.54 39.40
Sites, in units of the cell vectors:
Ba 0.0000 0.0000 0.0000
Hg 0.0000 0.5000 0.5000
Hg 0.5000 0.0000 0.0000
Pt 0.5000 0.5000 0.5000

Compound: Mn2FeTc
Source: Alexandria
Functional: PBEsol
Structure: optimized geometry

Values from the calculation:
calculated total energy = -9.85 eV/atom
symmetry = P4mm
magnetic moment = 1.077 μB/f.u.
V = 11.28 Å³ per atom
formation enthalpy at 0 K = 0.092 eV/atom

a b c (Å): 2.5219 2.5219 7.0936
angles (deg): 90.00 90.00 90.00
Sites, in units of the cell vectors:
Mn 0.0000 0.0000 0.0000
Mn 0.5000 0.5000 0.2311
Fe 0.0000 0.0000 0.4633
Tc 0.5000 0.5000 0.7293

Compound: Fe2MoIr
Source: Alexandria
Functional: PBEsol
Structure: optimized geometry

Values from the calculation:
calculated total energy = -9.90 eV/atom
symmetry = Pmm2
magnetic moment = 2.692 μB/f.u.
V = 12.61 Å³ per atom
formation enthalpy at 0 K = -0.016 eV/atom

a b c (Å): 2.6502 3.6315 5.2398
angles (deg): 90.00 90.00 90.00
Sites, in units of the cell vectors:
Fe 0.0000 0.0000 0.0000
Fe 0.5000 0.5000 0.2175
Mo 0.5000 0.5000 0.7489
Ir 0.0000 0.0000 0.4697

> Look up the V of the second one.

27.06 Å³ per atom